Tm4V6O19 | PBE+U | relaxed

Summary:
calculated total energy	-7.8608	eV/atom

Cell: 7.644 7.646 7.663 Å, 109.70 109.81 108.81°
Element x y z (fractional)
Tm1 0.000 0.000 0.000
Tm2 0.009 0.704 0.310
Tm3 0.302 0.284 0.586
Tm4 0.697 0.983 0.277
V1 0.187 0.678 0.794
V2 0.340 0.489 0.133
V3 0.518 0.848 0.628
V4 0.523 0.174 0.958
V5 0.659 0.490 0.453
V6 0.863 0.353 0.792
O1 0.001 0.992 0.293
O2 0.003 0.642 0.939
O3 0.005 0.346 0.646
O4 0.020 0.279 0.965
O5 0.255 0.952 0.930
O6 0.286 0.668 0.327
O7 0.324 0.609 0.657
O8 0.339 0.330 0.293
O9 0.347 0.313 0.899
O10 0.349 0.997 0.640
O11 0.385 0.704 0.038
O12 0.616 0.338 0.620
O13 0.643 0.243 0.259
O14 0.653 0.643 0.293
O15 0.661 0.993 0.947
O16 0.686 0.025 0.576
O17 0.716 0.730 0.687
O18 0.752 0.394 0.010
O19 0.968 0.630 0.548